No. 1
# PBE CdAgIN2, optimized geometry
# Calculated volume = 131.1 Å³/cell
# Energy relative to the elements, uncorrected = 1.579 eV per atom
# Crystal system = tetragonal
# Final energy = -14.07 eV for the cell shown
data_CdAgIN2
_symmetry_space_group_name_H-M 'P 1'
_symmetry_Int_Tables_number 1
_symmetry_space_group_name_Hall 'P 1'
_cell_length_a 4.209
_cell_length_b 4.209
_cell_length_c 7.400
_cell_angle_alpha 90.00
_cell_angle_beta 90.00
_cell_angle_gamma 90.00
loop_
_atom_site_label
_atom_site_type_symbol
_atom_site_fract_x
_atom_site_fract_y
_atom_site_fract_z
Cd1 Cd 0.000 0.000 0.000
Ag1 Ag 0.500 0.500 0.500
I1 I 0.500 0.500 0.000
N1 N 0.000 0.500 0.500
N2 N 0.500 0.000 0.500

***

No. 2
# PBE CdAgI2O, optimized geometry
# Calculated volume = 136.2 Å³/cell
# Energy relative to the elements, uncorrected = 0.169 eV per atom
# Crystal system = tetragonal
# Final energy = -10.98 eV for the cell shown
data_CdAgI2O
_symmetry_space_group_name_H-M 'P 1'
_symmetry_Int_Tables_number 1
_symmetry_space_group_name_Hall 'P 1'
_cell_length_a 5.800
_cell_length_b 5.800
_cell_length_c 4.049
_cell_angle_alpha 90.00
_cell_angle_beta 90.00
_cell_angle_gamma 90.00
loop_
_atom_site_label
_atom_site_type_symbol
_atom_site_fract_x
_atom_site_fract_y
_atom_site_fract_z
Cd1 Cd 0.000 0.000 0.000
Ag1 Ag 0.500 0.500 0.500
I1 I 0.000 0.500 0.500
I2 I 0.500 0.000 0.500
O1 O 0.500 0.500 0.000

***

No. 3
# PBE CdAgI2O, optimized geometry
# Calculated volume = 148.8 Å³/cell
# Energy relative to the elements, uncorrected = 0.059 eV per atom
# Crystal system = tetragonal
# Final energy = -11.53 eV for the cell shown
data_CdAgI2O
_symmetry_space_group_name_H-M 'P 1'
_symmetry_Int_Tables_number 1
_symmetry_space_group_name_Hall 'P 1'
_cell_length_a 5.996
_cell_length_b 5.996
_cell_length_c 4.139
_cell_angle_alpha 90.00
_cell_angle_beta 90.00
_cell_angle_gamma 90.00
loop_
_atom_site_label
_atom_site_type_symbol
_atom_site_fract_x
_atom_site_fract_y
_atom_site_fract_z
Cd1 Cd 0.000 0.000 0.000
Ag1 Ag 0.500 0.500 0.500
I1 I 0.000 0.500 0.000
I2 I 0.500 0.000 0.000
O1 O 0.000 0.000 0.500

***

No. 4
# PBE Cd2AgIO6, optimized geometry
# Calculated volume = 141.3 Å³/cell
# Energy relative to the elements, uncorrected = -0.594 eV per atom
# Crystal system = trigonal
# Final energy = -41.92 eV for the cell shown
data_Cd2AgIO6
_symmetry_space_group_name_H-M 'P 1'
_symmetry_Int_Tables_number 1
_symmetry_space_group_name_Hall 'P 1'
_cell_length_a 5.974
_cell_length_b 5.974
_cell_length_c 5.974
_cell_angle_alpha 57.26
_cell_angle_beta 57.26
_cell_angle_gamma 57.26
loop_
_atom_site_label
_atom_site_type_symbol
_atom_site_fract_x
_atom_site_fract_y
_atom_site_fract_z
Cd1 Cd 0.000 0.000 0.000
Cd2 Cd 0.481 0.481 0.481
Ag1 Ag 0.218 0.218 0.218
I1 I 0.694 0.694 0.694
O1 O 0.035 0.470 0.786
O2 O 0.345 0.878 0.617
O3 O 0.470 0.786 0.035
O4 O 0.617 0.345 0.878
O5 O 0.786 0.035 0.470
O6 O 0.878 0.617 0.345

***

No. 5
# PBE Cd2Ag2IO6, optimized geometry
# Calculated volume = 166.1 Å³/cell
# Energy relative to the elements, uncorrected = -0.454 eV per atom
# Crystal system = monoclinic
# Final energy = -43.82 eV for the cell shown
data_Cd2Ag2IO6
_symmetry_space_group_name_H-M 'P 1'
_symmetry_Int_Tables_number 1
_symmetry_space_group_name_Hall 'P 1'
_cell_length_a 5.761
_cell_length_b 5.761
_cell_length_c 6.305
_cell_angle_alpha 103.11
_cell_angle_beta 103.11
_cell_angle_gamma 117.91
loop_
_atom_site_label
_atom_site_type_symbol
_atom_site_fract_x
_atom_site_fract_y
_atom_site_fract_z
Cd1 Cd 0.162 0.838 0.000
Cd2 Cd 0.838 0.162 0.000
Ag1 Ag 0.309 0.691 0.500
Ag2 Ag 0.691 0.309 0.500
I1 I 0.500 0.500 0.000
O1 O 0.114 0.410 0.806
O2 O 0.320 0.320 0.210
O3 O 0.410 0.114 0.806
O4 O 0.590 0.886 0.194
O5 O 0.680 0.680 0.790
O6 O 0.886 0.590 0.194

***

No. 6
# PBE Cd2AgPbI, optimized geometry
# Calculated volume = 176.4 Å³/cell
# Energy relative to the elements, uncorrected = 0.211 eV per atom
# Crystal system = tetragonal
# Final energy = -8.89 eV for the cell shown
data_Cd2AgPbI
_symmetry_space_group_name_H-M 'P 1'
_symmetry_Int_Tables_number 1
_symmetry_space_group_name_Hall 'P 1'
_cell_length_a 5.703
_cell_length_b 5.703
_cell_length_c 5.422
_cell_angle_alpha 90.00
_cell_angle_beta 90.00
_cell_angle_gamma 90.00
loop_
_atom_site_label
_atom_site_type_symbol
_atom_site_fract_x
_atom_site_fract_y
_atom_site_fract_z
Cd1 Cd 0.000 0.500 0.000
Cd2 Cd 0.500 0.000 0.000
Ag1 Ag 0.000 0.000 0.500
Pb1 Pb 0.000 0.000 0.000
I1 I 0.500 0.500 0.500

***

No. 7
# PBE CdAg2PtI, optimized geometry
# Calculated volume = 139.2 Å³/cell
# Energy relative to the elements, uncorrected = 0.707 eV per atom
# Crystal system = tetragonal
# Final energy = -10.67 eV for the cell shown
data_CdAg2PtI
_symmetry_space_group_name_H-M 'P 1'
_symmetry_Int_Tables_number 1
_symmetry_space_group_name_Hall 'P 1'
_cell_length_a 5.251
_cell_length_b 5.251
_cell_length_c 5.046
_cell_angle_alpha 90.00
_cell_angle_beta 90.00
_cell_angle_gamma 90.00
loop_
_atom_site_label
_atom_site_type_symbol
_atom_site_fract_x
_atom_site_fract_y
_atom_site_fract_z
Cd1 Cd 0.000 0.000 0.000
Ag1 Ag 0.000 0.500 0.000
Ag2 Ag 0.500 0.000 0.000
Pt1 Pt 0.000 0.000 0.500
I1 I 0.500 0.500 0.500

***

No. 8
# PBE Rb2CdAgI6, optimized geometry
# Calculated volume = 429.9 Å³/cell
# Energy relative to the elements, uncorrected = -0.769 eV per atom
# Crystal system = triclinic
# Final energy = -22.70 eV for the cell shown
data_Rb2CdAgI6
_symmetry_space_group_name_H-M 'P 1'
_symmetry_Int_Tables_number 1
_symmetry_space_group_name_Hall 'P 1'
_cell_length_a 7.959
_cell_length_b 7.993
_cell_length_c 8.930
_cell_angle_alpha 115.67
_cell_angle_beta 90.05
_cell_angle_gamma 119.29
loop_
_atom_site_label
_atom_site_type_symbol
_atom_site_fract_x
_atom_site_fract_y
_atom_site_fract_z
Rb1 Rb 0.226 0.453 0.219
Rb2 Rb 0.774 0.547 0.781
Cd1 Cd 0.000 0.000 0.500
Ag1 Ag 0.500 0.000 0.000
I1 I 0.205 0.912 0.182
I2 I 0.224 0.456 0.637
I3 I 0.304 0.095 0.814
I4 I 0.696 0.905 0.186
I5 I 0.776 0.544 0.363
I6 I 0.795 0.088 0.818

***

No. 9
# PBE CdAgSbI2, optimized geometry
# Calculated volume = 181.8 Å³/cell
# Energy relative to the elements, uncorrected = 0.354 eV per atom
# Crystal system = tetragonal
# Final energy = -9.22 eV for the cell shown
data_CdAgSbI2
_symmetry_space_group_name_H-M 'P 1'
_symmetry_Int_Tables_number 1
_symmetry_space_group_name_Hall 'P 1'
_cell_length_a 5.734
_cell_length_b 5.734
_cell_length_c 5.530
_cell_angle_alpha 90.00
_cell_angle_beta 90.00
_cell_angle_gamma 90.00
loop_
_atom_site_label
_atom_site_type_symbol
_atom_site_fract_x
_atom_site_fract_y
_atom_site_fract_z
Cd1 Cd 0.000 0.000 0.000
Ag1 Ag 0.500 0.500 0.500
Sb1 Sb 0.500 0.500 0.000
I1 I 0.000 0.500 0.500
I2 I 0.500 0.000 0.500

***

No. 10
# PBE ScCdAgI2, optimized geometry
# Calculated volume = 179.7 Å³/cell
# Energy relative to the elements, uncorrected = 0.273 eV per atom
# Crystal system = tetragonal
# Final energy = -11.83 eV for the cell shown
data_ScCdAgI2
_symmetry_space_group_name_H-M 'P 1'
_symmetry_Int_Tables_number 1
_symmetry_space_group_name_Hall 'P 1'
_cell_length_a 5.721
_cell_length_b 5.721
_cell_length_c 5.490
_cell_angle_alpha 90.00
_cell_angle_beta 90.00
_cell_angle_gamma 90.00
loop_
_atom_site_label
_atom_site_type_symbol
_atom_site_fract_x
_atom_site_fract_y
_atom_site_fract_z
Sc1 Sc 0.000 0.000 0.000
Cd1 Cd 0.500 0.500 0.000
Ag1 Ag 0.000 0.000 0.500
I1 I 0.000 0.500 0.500
I2 I 0.500 0.000 0.500